(1)
! ReNi4Ir, optimized geometry, DFT PBE-GGA; values from VASP
! Space group   P-1
! Energy of formation   0.01 eV/f.u.
! Total moment   0.00 μB per atom
! Offset from the most stable computed form   0.000 eV per atom
&SYSTEM
  ibrav = 0, nat = 12, ntyp = 3
/
ATOMIC_SPECIES
Re 186.21 Re.upf
Ni 58.69 Ni.upf
Ir 192.22 Ir.upf
ATOMIC_POSITIONS crystal
Re 0.016 0.267 0.068
Re 0.984 0.733 0.932
Ni 0.148 0.898 0.610
Ni 0.174 0.426 0.708
Ni 0.319 0.070 0.289
Ni 0.345 0.596 0.389
Ni 0.655 0.404 0.611
Ni 0.681 0.930 0.711
Ni 0.826 0.574 0.292
Ni 0.852 0.102 0.390
Ir 0.484 0.234 0.937
Ir 0.516 0.766 0.063
CELL_PARAMETERS angstrom
4.973 0.000 0.000
-2.138 4.518 0.000
-0.715 -1.137 6.609


(2)
! Re2NiIr, optimized geometry, DFT PBE-GGA; values from VASP
! Space group   P4mm
! Energy of formation   0.56 eV/f.u.
! Total moment   0.00 μB per atom
! Offset from the most stable computed form   0.284 eV per atom
&SYSTEM
  ibrav = 0, nat = 4, ntyp = 3
/
ATOMIC_SPECIES
Re 186.21 Re.upf
Ni 58.69 Ni.upf
Ir 192.22 Ir.upf
ATOMIC_POSITIONS crystal
Re 0.000 0.000 0.000
Re 0.500 0.500 0.257
Ni 0.500 0.500 0.775
Ir 0.000 0.000 0.541
CELL_PARAMETERS angstrom
3.152 0.000 0.000
0.000 3.152 0.000
0.000 0.000 5.655


(3)
! Re3NiIr, optimized geometry, DFT PBE-GGA; values from VASP
! Space group   Pm-3m
! Energy of formation   8.51 eV/f.u.
! Total moment   0.00 μB per atom
! Offset from the most stable computed form   0.000 eV per atom
&SYSTEM
  ibrav = 0, nat = 5, ntyp = 3
/
ATOMIC_SPECIES
Re 186.21 Re.upf
Ni 58.69 Ni.upf
Ir 192.22 Ir.upf
ATOMIC_POSITIONS crystal
Re 0.000 0.000 0.500
Re 0.000 0.500 0.000
Re 0.500 0.000 0.000
Ni 0.000 0.000 0.000
Ir 0.500 0.500 0.500
CELL_PARAMETERS angstrom
4.352 0.000 0.000
0.000 4.352 0.000
0.000 0.000 4.352


(4)
! ReNi2Ir, optimized geometry, DFT PBE-GGA; values from VASP
! Space group   R-3m
! Energy of formation   0.36 eV/f.u.
! Total moment   0.00 μB per atom
! Offset from the most stable computed form   0.174 eV per atom
&SYSTEM
  ibrav = 0, nat = 4, ntyp = 3
/
ATOMIC_SPECIES
Re 186.21 Re.upf
Ni 58.69 Ni.upf
Ir 192.22 Ir.upf
ATOMIC_POSITIONS crystal
Re 0.000 0.000 0.000
Ni 0.251 0.251 0.251
Ni 0.749 0.749 0.749
Ir 0.500 0.500 0.500
CELL_PARAMETERS angstrom
1.337 0.772 8.464
-1.337 0.772 8.464
0.000 -1.543 8.464


(5)
! Re2NiIr2, optimized geometry, DFT PBE-GGA; values from VASP
! Space group   P4/mbm
! Energy of formation   1.20 eV/f.u.
! Total moment   0.00 μB per atom
&SYSTEM
  ibrav = 0, nat = 10, ntyp = 3
/
ATOMIC_SPECIES
Re 186.21 Re.upf
Ni 58.69 Ni.upf
Ir 192.22 Ir.upf
ATOMIC_POSITIONS crystal
Re 0.171 0.329 0.000
Re 0.329 0.829 0.000
Re 0.671 0.171 0.000
Re 0.829 0.671 0.000
Ni 0.000 0.000 0.500
Ni 0.500 0.500 0.500
Ir 0.125 0.625 0.500
Ir 0.375 0.125 0.500
Ir 0.625 0.875 0.500
Ir 0.875 0.375 0.500
CELL_PARAMETERS angstrom
7.544 0.000 0.000
0.000 7.544 0.000
0.000 0.000 2.716


(6)
! ReNi2Ir, optimized geometry, DFT PBE-GGA; values from VASP
! Space group   C2/m
! Energy of formation   0.05 eV/f.u.
! Total moment   0.00 μB per atom
! Offset from the most stable computed form   0.098 eV per atom
&SYSTEM
  ibrav = 0, nat = 4, ntyp = 3
/
ATOMIC_SPECIES
Re 186.21 Re.upf
Ni 58.69 Ni.upf
Ir 192.22 Ir.upf
ATOMIC_POSITIONS crystal
Re 0.000 0.000 0.000
Ni 0.250 0.250 0.762
Ni 0.750 0.750 0.238
Ir 0.500 0.500 0.500
CELL_PARAMETERS angstrom
4.294 -1.341 0.000
4.294 1.341 0.000
-0.826 0.000 4.531


(7)
! ReNi2Ir, optimized geometry, DFT PBE-GGA; values from VASP
! Space group   Pmmm
! Energy of formation   0.90 eV/f.u.
! Total moment   0.00 μB per atom
! Offset from the most stable computed form   0.310 eV per atom
&SYSTEM
  ibrav = 0, nat = 4, ntyp = 3
/
ATOMIC_SPECIES
Re 186.21 Re.upf
Ni 58.69 Ni.upf
Ir 192.22 Ir.upf
ATOMIC_POSITIONS crystal
Re 0.000 0.000 0.000
Ni 0.000 0.500 0.500
Ni 0.500 0.500 0.000
Ir 0.500 0.000 0.500
CELL_PARAMETERS angstrom
2.708 0.000 0.000
0.000 4.373 0.000
0.000 0.000 4.497


(8)
! Re2NiIr, optimized geometry, DFT PBE-GGA; values from VASP
! Space group   Pmm2
! Energy of formation   -0.57 eV/f.u.
! Total moment   0.00 μB per atom
! Offset from the most stable computed form   0.000 eV per atom
&SYSTEM
  ibrav = 0, nat = 4, ntyp = 3
/
ATOMIC_SPECIES
Re 186.21 Re.upf
Ni 58.69 Ni.upf
Ir 192.22 Ir.upf
ATOMIC_POSITIONS crystal
Re 0.000 0.000 0.000
Re 0.000 0.500 0.328
Ni 0.500 0.000 0.494
Ir 0.500 0.500 0.812
CELL_PARAMETERS angstrom
2.708 0.000 0.000
0.000 4.319 0.000
0.000 0.000 4.744


(9)
! Re2NiIr, optimized geometry, DFT PBE-GGA; values from VASP
! Space group   F-43m
! Energy of formation   0.77 eV/f.u.
! Total moment   0.00 μB per atom
! Offset from the most stable computed form   0.337 eV per atom
&SYSTEM
  ibrav = 0, nat = 4, ntyp = 3
/
ATOMIC_SPECIES
Re 186.21 Re.upf
Ni 58.69 Ni.upf
Ir 192.22 Ir.upf
ATOMIC_POSITIONS crystal
Re 0.000 0.000 0.000
Re 0.250 0.250 0.250
Ni 0.500 0.500 0.500
Ir 0.750 0.750 0.750
CELL_PARAMETERS angstrom
0.000 3.048 3.048
3.048 0.000 3.048
3.048 3.048 0.000


(10)
! ReNi2Ir, optimized geometry, DFT PBE-GGA; values from VASP
! Space group   Pmmm
! Energy of formation   0.10 eV/f.u.
! Total moment   0.00 μB per atom
! Offset from the most stable computed form   0.111 eV per atom
&SYSTEM
  ibrav = 0, nat = 4, ntyp = 3
/
ATOMIC_SPECIES
Re 186.21 Re.upf
Ni 58.69 Ni.upf
Ir 192.22 Ir.upf
ATOMIC_POSITIONS crystal
Re 0.000 0.000 0.000
Ni 0.500 0.500 0.242
Ni 0.500 0.500 0.758
Ir 0.000 0.000 0.500
CELL_PARAMETERS angstrom
2.655 0.000 0.000
0.000 3.713 0.000
0.000 0.000 5.229


(11)
! ReNi3Ir4, optimized geometry, DFT PBE-GGA; values from VASP
! Space group   C2/m
! Energy of formation   -0.34 eV/f.u.
! Total moment   0.00 μB per atom
&SYSTEM
  ibrav = 0, nat = 8, ntyp = 3
/
ATOMIC_SPECIES
Re 186.21 Re.upf
Ni 58.69 Ni.upf
Ir 192.22 Ir.upf
ATOMIC_POSITIONS crystal
Re 0.000 0.000 0.000
Ni 0.000 0.000 0.500
Ni 0.498 0.498 0.755
Ni 0.502 0.502 0.245
Ir 0.248 0.248 0.872
Ir 0.252 0.252 0.379
Ir 0.748 0.748 0.621
Ir 0.752 0.752 0.128
CELL_PARAMETERS angstrom
4.149 -1.902 0.000
4.149 1.902 0.000
-3.529 0.000 6.762


(12)
! Re2NiIr, optimized geometry, DFT PBE-GGA; values from VASP
! Space group   Fm-3m
! Energy of formation   1.78 eV/f.u.
! Total moment   0.00 μB per atom
! Offset from the most stable computed form   0.590 eV per atom
&SYSTEM
  ibrav = 0, nat = 4, ntyp = 3
/
ATOMIC_SPECIES
Re 186.21 Re.upf
Ni 58.69 Ni.upf
Ir 192.22 Ir.upf
ATOMIC_POSITIONS crystal
Re 0.250 0.250 0.250
Re 0.750 0.750 0.750
Ni 0.000 0.000 0.000
Ir 0.500 0.500 0.500
CELL_PARAMETERS angstrom
0.000 3.051 3.051
3.051 0.000 3.051
3.051 3.051 0.000


(13)
! ReNi2Ir, optimized geometry, DFT PBE-GGA; values from VASP
! Space group   I4/mmm
! Energy of formation   0.09 eV/f.u.
! Total moment   0.00 μB per atom
! Offset from the most stable computed form   0.107 eV per atom
&SYSTEM
  ibrav = 0, nat = 4, ntyp = 3
/
ATOMIC_SPECIES
Re 186.21 Re.upf
Ni 58.69 Ni.upf
Ir 192.22 Ir.upf
ATOMIC_POSITIONS crystal
Re 0.000 0.000 0.000
Ni 0.250 0.750 0.500
Ni 0.750 0.250 0.500
Ir 0.500 0.500 0.000
CELL_PARAMETERS angstrom
-1.857 1.857 3.725
1.857 -1.857 3.725
1.857 1.857 -3.725


(14)
! Re2NiIr, optimized geometry, DFT PBE-GGA; values from VASP
! Space group   I4/mmm
! Energy of formation   0.03 eV/f.u.
! Total moment   0.00 μB per atom
! Offset from the most stable computed form   0.151 eV per atom
&SYSTEM
  ibrav = 0, nat = 4, ntyp = 3
/
ATOMIC_SPECIES
Re 186.21 Re.upf
Ni 58.69 Ni.upf
Ir 192.22 Ir.upf
ATOMIC_POSITIONS crystal
Re 0.250 0.750 0.500
Re 0.750 0.250 0.500
Ni 0.000 0.000 0.000
Ir 0.500 0.500 0.000
CELL_PARAMETERS angstrom
-1.868 1.868 3.988
1.868 -1.868 3.988
1.868 1.868 -3.988


(15)
! ReNi2Ir, optimized geometry, DFT PBE-GGA; values from VASP
! Space group   P2/m
! Energy of formation   0.12 eV/f.u.
! Total moment   0.00 μB per atom
! Offset from the most stable computed form   0.115 eV per atom
&SYSTEM
  ibrav = 0, nat = 4, ntyp = 3
/
ATOMIC_SPECIES
Re 186.21 Re.upf
Ni 58.69 Ni.upf
Ir 192.22 Ir.upf
ATOMIC_POSITIONS crystal
Re 0.000 0.000 0.000
Ni 0.500 0.000 0.500
Ni 0.500 0.500 0.000
Ir 0.000 0.500 0.500
CELL_PARAMETERS angstrom
4.491 0.000 0.000
0.000 2.676 0.000
-1.562 0.000 4.334


(16)
! Re2NiIr6, optimized geometry, DFT PBE-GGA; values from VASP
! Space group   C2/m
! Energy of formation   -0.76 eV/f.u.
! Total moment   0.00 μB per atom
&SYSTEM
  ibrav = 0, nat = 9, ntyp = 3
/
ATOMIC_SPECIES
Re 186.21 Re.upf
Ni 58.69 Ni.upf
Ir 192.22 Ir.upf
ATOMIC_POSITIONS crystal
Re 0.168 0.168 0.220
Re 0.832 0.832 0.780
Ni 0.500 0.500 0.000
Ir 0.165 0.165 0.894
Ir 0.170 0.170 0.557
Ir 0.498 0.498 0.672
Ir 0.502 0.502 0.328
Ir 0.830 0.830 0.443
Ir 0.835 0.835 0.106
CELL_PARAMETERS angstrom
5.927 -1.365 0.000
5.927 1.365 0.000
-1.838 0.000 7.949


(17)
! Re2NiIr, optimized geometry, DFT PBE-GGA; values from VASP
! Space group   Cm
! Energy of formation   -0.10 eV/f.u.
! Total moment   0.00 μB per atom
! Offset from the most stable computed form   0.118 eV per atom
&SYSTEM
  ibrav = 0, nat = 4, ntyp = 3
/
ATOMIC_SPECIES
Re 186.21 Re.upf
Ni 58.69 Ni.upf
Ir 192.22 Ir.upf
ATOMIC_POSITIONS crystal
Re 0.000 0.000 0.000
Re 0.248 0.248 0.733
Ni 0.748 0.748 0.233
Ir 0.505 0.505 0.486
CELL_PARAMETERS angstrom
4.456 -1.343 0.000
4.456 1.343 0.000
-0.726 0.000 4.681


(18)
! ReNi2Ir, optimized geometry, DFT PBE-GGA; values from VASP
! Space group   Cmmm
! Energy of formation   0.27 eV/f.u.
! Total moment   0.00 μB per atom
! Offset from the most stable computed form   0.153 eV per atom
&SYSTEM
  ibrav = 0, nat = 4, ntyp = 3
/
ATOMIC_SPECIES
Re 186.21 Re.upf
Ni 58.69 Ni.upf
Ir 192.22 Ir.upf
ATOMIC_POSITIONS crystal
Re 0.000 0.000 0.000
Ni 0.000 0.500 0.500
Ni 0.500 0.000 0.500
Ir 0.500 0.500 0.000
CELL_PARAMETERS angstrom
2.615 -3.701 0.000
2.615 3.701 0.000
0.000 0.000 2.659


(19)
! ReNi2Ir, optimized geometry, DFT PBE-GGA; values from VASP
! Space group   F-43m
! Energy of formation   0.68 eV/f.u.
! Total moment   0.00 μB per atom
! Offset from the most stable computed form   0.255 eV per atom
&SYSTEM
  ibrav = 0, nat = 4, ntyp = 3
/
ATOMIC_SPECIES
Re 186.21 Re.upf
Ni 58.69 Ni.upf
Ir 192.22 Ir.upf
ATOMIC_POSITIONS crystal
Re 0.000 0.000 0.000
Ni 0.250 0.250 0.250
Ni 0.500 0.500 0.500
Ir 0.750 0.750 0.750
CELL_PARAMETERS angstrom
0.000 2.974 2.974
2.974 0.000 2.974
2.974 2.974 0.000


(20)
! ReNi3Ir3, optimized geometry, DFT PBE-GGA; values from VASP
! Space group   P6_3/m
! Energy of formation   -0.10 eV/f.u.
! Total moment   0.00 μB per atom
&SYSTEM
  ibrav = 0, nat = 14, ntyp = 3
/
ATOMIC_SPECIES
Re 186.21 Re.upf
Ni 58.69 Ni.upf
Ir 192.22 Ir.upf
ATOMIC_POSITIONS crystal
Re 0.333 0.667 0.250
Re 0.667 0.333 0.750
Ni 0.106 0.483 0.750
Ni 0.377 0.894 0.750
Ni 0.483 0.377 0.250
Ni 0.517 0.623 0.750
Ni 0.623 0.106 0.250
Ni 0.894 0.517 0.250
Ir 0.055 0.255 0.250
Ir 0.200 0.945 0.250
Ir 0.255 0.200 0.750
Ir 0.745 0.800 0.250
Ir 0.800 0.055 0.750
Ir 0.945 0.745 0.750
CELL_PARAMETERS angstrom
7.018 0.000 0.000
-3.509 6.078 0.000
0.000 0.000 4.307


(21)
! ReNi2Ir, optimized geometry, DFT PBE-GGA; values from VASP
! Space group   R3m
! Energy of formation   0.23 eV/f.u.
! Total moment   0.12 μB per atom
! Offset from the most stable computed form   0.143 eV per atom
&SYSTEM
  ibrav = 0, nat = 4, ntyp = 3
/
ATOMIC_SPECIES
Re 186.21 Re.upf
Ni 58.69 Ni.upf
Ir 192.22 Ir.upf
ATOMIC_POSITIONS crystal
Re 0.000 0.000 0.000
Ni 0.250 0.250 0.250
Ni 0.505 0.505 0.505
Ir 0.753 0.753 0.753
CELL_PARAMETERS angstrom
1.349 0.779 8.383
-1.349 0.779 8.383
0.000 -1.558 8.383


(22)
! ReNi2Ir, optimized geometry, DFT PBE-GGA; values from VASP
! Space group   I-42d
! Energy of formation   2.63 eV/f.u.
! Total moment   0.00 μB per atom
! Offset from the most stable computed form   0.744 eV per atom
&SYSTEM
  ibrav = 0, nat = 8, ntyp = 3
/
ATOMIC_SPECIES
Re 186.21 Re.upf
Ni 58.69 Ni.upf
Ir 192.22 Ir.upf
ATOMIC_POSITIONS crystal
Re 0.000 0.000 0.000
Re 0.750 0.250 0.500
Ni 0.115 0.625 0.990
Ni 0.375 0.365 0.490
Ni 0.635 0.125 0.010
Ni 0.875 0.885 0.510
Ir 0.250 0.750 0.500
Ir 0.500 0.500 0.000
CELL_PARAMETERS angstrom
-3.326 3.326 2.537
3.326 -3.326 2.537
3.326 3.326 -2.537


(23)
! Re2NiIr, optimized geometry, DFT PBE-GGA; values from VASP
! Space group   I-42d
! Energy of formation   3.04 eV/f.u.
! Total moment   0.00 μB per atom
! Offset from the most stable computed form   0.904 eV per atom
&SYSTEM
  ibrav = 0, nat = 8, ntyp = 3
/
ATOMIC_SPECIES
Re 186.21 Re.upf
Ni 58.69 Ni.upf
Ir 192.22 Ir.upf
ATOMIC_POSITIONS crystal
Re 0.104 0.125 0.479
Re 0.375 0.896 0.021
Re 0.646 0.625 0.521
Re 0.875 0.354 0.979
Ni 0.000 0.000 0.000
Ni 0.750 0.250 0.500
Ir 0.250 0.750 0.500
Ir 0.500 0.500 0.000
CELL_PARAMETERS angstrom
-3.415 3.415 2.589
3.415 -3.415 2.589
3.415 3.415 -2.589


(24)
! Re2NiIr, optimized geometry, DFT PBE-GGA; values from VASP
! Space group   Cmmm
! Energy of formation   -0.01 eV/f.u.
! Total moment   0.00 μB per atom
! Offset from the most stable computed form   0.141 eV per atom
&SYSTEM
  ibrav = 0, nat = 4, ntyp = 3
/
ATOMIC_SPECIES
Re 186.21 Re.upf
Ni 58.69 Ni.upf
Ir 192.22 Ir.upf
ATOMIC_POSITIONS crystal
Re 0.000 0.500 0.000
Re 0.500 0.000 0.000
Ni 0.000 0.000 0.500
Ir 0.500 0.500 0.500
CELL_PARAMETERS angstrom
2.648 -3.916 0.000
2.648 3.916 0.000
0.000 0.000 2.692


(25)
! ReNi2Ir, optimized geometry, DFT PBE-GGA; values from VASP
! Space group   P4/mmm
! Energy of formation   0.17 eV/f.u.
! Total moment   0.00 μB per atom
! Offset from the most stable computed form   0.128 eV per atom
&SYSTEM
  ibrav = 0, nat = 4, ntyp = 3
/
ATOMIC_SPECIES
Re 186.21 Re.upf
Ni 58.69 Ni.upf
Ir 192.22 Ir.upf
ATOMIC_POSITIONS crystal
Re 0.000 0.000 0.000
Ni 0.500 0.500 0.250
Ni 0.500 0.500 0.750
Ir 0.000 0.000 0.500
CELL_PARAMETERS angstrom
2.634 0.000 0.000
0.000 2.634 0.000
0.000 0.000 7.415


(26)
! ReNi2Ir, optimized geometry, DFT PBE-GGA; values from VASP
! Space group   Cm
! Energy of formation   -0.14 eV/f.u.
! Total moment   0.00 μB per atom
! Offset from the most stable computed form   0.049 eV per atom
&SYSTEM
  ibrav = 0, nat = 4, ntyp = 3
/
ATOMIC_SPECIES
Re 186.21 Re.upf
Ni 58.69 Ni.upf
Ir 192.22 Ir.upf
ATOMIC_POSITIONS crystal
Re 0.000 0.000 0.000
Ni 0.498 0.498 0.488
Ni 0.749 0.749 0.260
Ir 0.248 0.248 0.756
CELL_PARAMETERS angstrom
4.384 -1.338 0.000
4.384 1.338 0.000
-0.816 0.000 4.395


(27)
! ReNi4Ir, optimized geometry, DFT PBE-GGA; values from VASP
! Space group   F-43m
! Energy of formation   0.32 eV/f.u.
! Total moment   0.21 μB per atom
! Offset from the most stable computed form   0.051 eV per atom
&SYSTEM
  ibrav = 0, nat = 6, ntyp = 3
/
ATOMIC_SPECIES
Re 186.21 Re.upf
Ni 58.69 Ni.upf
Ir 192.22 Ir.upf
ATOMIC_POSITIONS crystal
Re 0.000 0.000 0.000
Ni 0.375 0.375 0.375
Ni 0.375 0.375 0.876
Ni 0.375 0.876 0.375
Ni 0.876 0.375 0.375
Ir 0.750 0.750 0.750
CELL_PARAMETERS angstrom
0.000 3.292 3.292
3.292 0.000 3.292
3.292 3.292 0.000


(28)
! ReNi2Ir, optimized geometry, DFT PBE-GGA; values from VASP
! Space group   P4mm
! Energy of formation   -0.09 eV/f.u.
! Total moment   0.00 μB per atom
! Offset from the most stable computed form   0.064 eV per atom
&SYSTEM
  ibrav = 0, nat = 4, ntyp = 3
/
ATOMIC_SPECIES
Re 186.21 Re.upf
Ni 58.69 Ni.upf
Ir 192.22 Ir.upf
ATOMIC_POSITIONS crystal
Re 0.000 0.000 0.000
Ni 0.000 0.000 0.524
Ni 0.500 0.500 0.754
Ir 0.500 0.500 0.269
CELL_PARAMETERS angstrom
2.688 0.000 0.000
0.000 2.688 0.000
0.000 0.000 7.157